(1)
Ba3In6Hg5 | GGA-PBE | optimized geometry

Geometry as POSCAR:
```
Ba3In6Hg5
1.0
4.848 0.000 0.000
0.000 12.471 0.000
0.000 0.000 14.293
Ba In Hg
6 12 10
direct
0.000 0.252 0.664 Ba
0.500 0.748 0.164 Ba
0.500 0.748 0.836 Ba
0.000 0.254 0.000 Ba
0.500 0.746 0.500 Ba
0.000 0.252 0.336 Ba
0.000 0.002 0.835 In
0.500 0.998 0.665 In
0.500 0.382 0.824 In
0.500 0.526 0.000 In
0.000 0.474 0.500 In
0.000 0.618 0.676 In
0.000 0.618 0.324 In
0.500 0.996 0.000 In
0.000 0.002 0.165 In
0.500 0.382 0.176 In
0.000 0.004 0.500 In
0.500 0.998 0.335 In
0.000 0.516 0.862 Hg
0.000 0.854 0.666 Hg
0.000 0.839 0.000 Hg
0.500 0.484 0.638 Hg
0.500 0.161 0.500 Hg
0.000 0.516 0.138 Hg
0.500 0.484 0.362 Hg
0.000 0.854 0.334 Hg
0.500 0.146 0.834 Hg
0.500 0.146 0.166 Hg
```

## Properties
ΔE_f ... -351 meV per atom
Symmetry ... Pmmn
Crystal system ... orthorhombic



(2)
PrMgZnPd | GGA-PBE | optimized geometry

Geometry as POSCAR:
```
PrMgZnPd
1.0
4.938 0.000 0.000
2.469 4.276 0.000
2.469 1.425 4.032
Pr Zn Mg Pd
1 1 1 1
direct
0.750 0.750 0.750 Pr
0.000 0.000 0.000 Zn
0.250 0.250 0.250 Mg
0.500 0.500 0.500 Pd
```

## Properties
ΔE_f ... -485 meV per atom
Symmetry ... F-43m
Crystal system ... cubic



(3)
Li2TcPt | GGA-PBE | optimized geometry

Geometry as POSCAR:
```
Li2TcPt
1.0
2.732 0.000 0.000
0.000 2.732 0.000
0.000 0.000 7.949
Li Pt Tc
2 1 1
direct
0.000 0.000 0.990 Li
0.500 0.500 0.273 Li
0.000 0.000 0.498 Pt
0.500 0.500 0.740 Tc
```

## Properties
ΔE_f ... -86 meV per atom
Symmetry ... P4mm
Crystal system ... tetragonal
ΔE to the lowest computed polymorph ... 0.041 eV/atom



(4)
LaOs2 | GGA-PBE | optimized geometry

Geometry as POSCAR:
```
LaOs2
1.0
-5.237 -0.269 0.310
-4.139 -2.152 2.414
-2.247 4.915 5.573
La Os
2 4
direct
0.651 0.651 0.920 La
0.349 0.349 0.080 La
0.016 0.016 0.668 Os
0.984 0.984 0.332 Os
0.683 0.683 0.410 Os
0.317 0.317 0.590 Os
```

## Properties
ΔE_f ... 409 meV per atom
Symmetry ... C2/m
Crystal system ... monoclinic



(5)
ZrTc | GGA-PBE | optimized geometry

Geometry as POSCAR:
```
ZrTc
1.0
-4.057 1.651 0.560
0.533 -3.950 -1.900
-0.269 -2.163 4.422
Tc Zr
2 2
direct
0.000 0.000 0.000 Tc
0.000 0.000 0.500 Tc
0.333 0.667 0.250 Zr
0.667 0.333 0.750 Zr
```

## Properties
ΔE_f ... 119 meV per atom
Symmetry ... P6_3/mmc
Crystal system ... hexagonal



(6)
HfTi2Hg | GGA-PBE | optimized geometry

Geometry as POSCAR:
```
HfTi2Hg
1.0
4.198 0.000 0.000
0.000 4.243 0.000
0.000 0.000 4.243
Hf Hg Ti
1 1 2
direct
0.500 0.000 0.000 Hf
0.500 0.500 0.500 Hg
0.000 0.000 0.500 Ti
0.000 0.500 0.000 Ti
```

## Properties
ΔE_f ... -19 meV per atom
Symmetry ... P4/mmm
Crystal system ... tetragonal



(7)
RbTl2Br7 | GGA-PBE | optimized geometry

Geometry as POSCAR:
```
RbTl2Br7
1.0
-1.859 -3.305 2.442
1.601 -7.256 -8.604
5.955 3.360 9.082
Rb Tl Br
1 2 7
direct
0.000 0.000 0.000 Rb
0.500 0.635 0.365 Tl
0.500 0.365 0.635 Tl
0.000 0.714 0.286 Br
0.000 0.286 0.714 Br
0.500 0.065 0.313 Br
0.500 0.935 0.687 Br
0.500 0.313 0.065 Br
0.500 0.687 0.935 Br
0.500 0.500 0.500 Br
```

## Properties
Symmetry ... Cmmm
Crystal system ... orthorhombic
Formation energy without anion corrections ... -667 meV/atom



(8)
Zr2TiGaBi | GGA-PBE | optimized geometry

Geometry as POSCAR:
```
Zr2TiGaBi
1.0
5.419 0.000 0.000
0.000 5.072 0.000
0.000 0.000 5.419
Ga Bi Zr Ti
1 1 2 1
direct
0.500 0.500 0.500 Ga
0.000 0.000 0.000 Bi
0.000 0.000 0.500 Zr
0.500 0.000 0.000 Zr
0.000 0.500 0.000 Ti
```

## Properties
ΔE_f ... 1039 meV per atom
Symmetry ... P4/mmm
Crystal system ... tetragonal



(9)
Zr2Si2Os | GGA-PBE | optimized geometry

Geometry as POSCAR:
```
Zr2Si2Os
1.0
-6.165 -1.488 0.172
0.030 -0.854 -6.286
0.986 -4.022 0.551
Si Os Zr
4 2 4
direct
0.365 0.865 0.000 Si
0.865 0.635 0.000 Si
0.635 0.135 0.000 Si
0.135 0.365 0.000 Si
0.000 0.000 0.000 Os
0.500 0.500 0.000 Os
0.174 0.674 0.500 Zr
0.674 0.826 0.500 Zr
0.826 0.326 0.500 Zr
0.326 0.174 0.500 Zr
```

## Properties
Symmetry ... P4/mbm
Crystal system ... tetragonal
Formation energy without anion corrections ... -865 meV/atom



(10)
Y2Tl2S | GGA-PBE | optimized geometry

Geometry as POSCAR:
```
Y2Tl2S
1.0
3.698 0.000 0.690
1.791 3.240 0.655
-0.205 -0.035 11.345
Y Tl S
2 2 1
direct
0.716 0.213 0.355 Y
0.284 0.787 0.645 Y
0.458 0.951 0.132 Tl
0.542 0.049 0.868 Tl
0.000 0.500 0.500 S
```

## Properties
Symmetry ... C2/m
Crystal system ... monoclinic
ΔE to the lowest computed polymorph ... 0.000 eV/atom
Formation energy without anion corrections ... -870 meV/atom



(11)
CeSbPb2 | GGA-PBE | optimized geometry

Geometry as POSCAR:
```
CeSbPb2
1.0
5.101 0.000 0.000
0.000 4.731 0.000
0.000 0.000 4.731
Pb Sb Ce
2 1 1
direct
0.000 0.000 0.500 Pb
0.000 0.500 0.000 Pb
0.500 0.000 0.000 Sb
0.500 0.500 0.500 Ce
```

## Properties
Symmetry ... P4/mmm
Crystal system ... tetragonal
ΔE to the lowest computed polymorph ... 0.000 eV/atom
Formation energy without anion corrections ... -445 meV/atom



(12)
BaP2Pt8 | GGA-PBE | optimized geometry

Geometry as POSCAR:
```
BaP2Pt8
1.0
0.730 -4.878 -2.244
-0.043 -2.271 4.920
-8.737 2.565 -1.877
Ba P Pt
1 2 8
direct
0.500 0.500 0.000 Ba
0.250 0.750 0.500 P
0.750 0.250 0.500 P
0.914 0.914 0.324 Pt
0.086 0.086 0.676 Pt
0.590 0.590 0.676 Pt
0.590 0.086 0.676 Pt
0.410 0.410 0.324 Pt
0.410 0.914 0.324 Pt
0.914 0.410 0.324 Pt
0.086 0.590 0.676 Pt
```

## Properties
ΔE_f ... -213 meV per atom
Symmetry ... I4/mmm
Crystal system ... tetragonal



(13)
Ce2Nd3ErS6 | GGA-PBE | optimized geometry

Geometry as POSCAR:
```
Ce2Nd3ErS6
1.0
-3.260 -1.013 6.072
-1.930 -3.603 -5.640
6.056 -3.163 1.387
Ce Nd Er S
2 3 1 6
direct
0.334 0.666 0.000 Ce
0.666 0.334 0.000 Ce
0.168 0.832 0.500 Nd
0.832 0.168 0.500 Nd
0.500 0.500 0.500 Nd
0.000 0.000 0.000 Er
0.920 0.594 0.760 S
0.755 0.755 0.243 S
0.080 0.406 0.240 S
0.594 0.920 0.760 S
0.245 0.245 0.757 S
0.406 0.080 0.240 S
```

## Properties
Symmetry ... C2/m
Crystal system ... monoclinic
Formation energy without anion corrections ... -2024 meV/atom



(14)
Li5Tl | GGA-PBE | optimized geometry

Geometry as POSCAR:
```
Li5Tl
1.0
-4.826 -3.466 3.245
5.476 -0.318 -3.967
2.639 -0.245 3.663
Li Tl
5 1
direct
0.811 0.189 0.500 Li
0.638 0.362 0.000 Li
0.472 0.528 0.500 Li
0.306 0.694 0.000 Li
0.133 0.867 0.500 Li
0.972 0.028 0.000 Tl
```

## Properties
ΔE_f ... -141 meV per atom
Symmetry ... Cmmm
Crystal system ... orthorhombic
ΔE to the lowest computed polymorph ... 0.020 eV/atom



(15)
Zn2Cu8Ni | GGA-PBE | optimized geometry

Geometry as POSCAR:
```
Zn2Cu8Ni
1.0
3.502 0.000 -1.003
-0.256 5.730 -0.894
0.046 -0.753 6.778
Zn Cu Ni
2 8 1
direct
0.866 0.821 0.732 Zn
0.134 0.179 0.268 Zn
0.411 0.545 0.821 Cu
0.680 0.904 0.361 Cu
0.772 0.362 0.544 Cu
0.046 0.727 0.092 Cu
0.228 0.638 0.456 Cu
0.320 0.096 0.639 Cu
0.589 0.455 0.179 Cu
0.954 0.273 0.908 Cu
0.500 0.000 0.000 Ni
```

## Properties
ΔE_f ... -55 meV per atom
Symmetry ... C2/m
Crystal system ... monoclinic
ΔE to the lowest computed polymorph ... 0.000 eV/atom



(16)
In2CoMo | GGA-PBE | optimized geometry

Geometry as POSCAR:
```
In2CoMo
1.0
4.273 0.000 0.000
0.000 4.273 0.000
0.000 0.000 3.763
Co In Mo
1 2 1
direct
0.000 0.500 0.500 Co
0.000 0.000 0.000 In
0.500 0.500 0.000 In
0.500 0.000 0.500 Mo
```

## Properties
ΔE_f ... 383 meV per atom
Symmetry ... P4/mmm
Crystal system ... tetragonal
ΔE to the lowest computed polymorph ... 0.166 eV/atom



(17)
RbPuMnCl6 | GGA-PBE | optimized geometry

Geometry as POSCAR:
```
RbPuMnCl6
1.0
-4.171 2.412 5.013
-1.544 -5.954 -3.241
7.597 -7.331 9.849
Rb Pu Mn Cl
2 2 2 12
direct
0.000 0.000 0.000 Rb
0.000 0.000 0.500 Rb
0.333 0.667 0.250 Pu
0.667 0.333 0.750 Pu
0.667 0.333 0.250 Mn
0.333 0.667 0.750 Mn
0.637 0.617 0.148 Cl
0.980 0.363 0.148 Cl
0.363 0.980 0.648 Cl
0.020 0.637 0.852 Cl
0.383 0.363 0.352 Cl
0.980 0.617 0.352 Cl
0.617 0.980 0.852 Cl
0.637 0.020 0.352 Cl
0.020 0.383 0.648 Cl
0.383 0.020 0.148 Cl
0.617 0.637 0.648 Cl
0.363 0.383 0.852 Cl
```

## Properties
Symmetry ... P-31c
Crystal system ... trigonal
Formation energy without anion corrections ... -1668 meV/atom



(18)
Dy6TmAg | GGA-PBE | optimized geometry

Geometry as POSCAR:
```
Dy6TmAg
1.0
-6.480 -6.488 -1.143
-2.322 -5.329 6.077
-5.575 -1.442 2.426
Dy Tm Ag
6 1 1
direct
0.044 0.432 0.763 Dy
0.762 0.956 0.714 Dy
0.568 0.239 0.149 Dy
0.238 0.044 0.286 Dy
0.956 0.568 0.237 Dy
0.432 0.761 0.851 Dy
0.500 0.500 0.500 Tm
0.000 0.000 0.000 Ag
```

## Properties
ΔE_f ... 46 meV per atom
Symmetry ... R-3
Crystal system ... trigonal



(19)
TbAgSn | GGA-PBE | optimized geometry

Geometry as POSCAR:
```
TbAgSn
1.0
4.755 0.000 0.000
-2.378 4.118 0.000
0.000 0.000 7.376
Tb Sn Ag
2 2 2
direct
0.000 0.000 0.500 Tb
0.000 0.000 0.000 Tb
0.333 0.667 0.771 Sn
0.333 0.667 0.229 Sn
0.667 0.333 0.296 Ag
0.667 0.333 0.704 Ag
```

## Properties
ΔE_f ... -544 meV per atom
Symmetry ... P-6m2
Crystal system ... hexagonal



(20)
Ce4IrAu | GGA-PBE | optimized geometry

Geometry as POSCAR:
```
Ce4IrAu
1.0
-0.626 -2.773 -5.113
5.769 -2.396 0.593
-2.737 -5.057 6.199
Ce Ir Au
8 2 2
direct
0.233 0.250 0.294 Ce
0.767 0.750 0.706 Ce
0.830 0.250 0.963 Ce
0.170 0.750 0.037 Ce
0.781 0.975 0.302 Ce
0.219 0.475 0.698 Ce
0.781 0.525 0.302 Ce
0.219 0.025 0.698 Ce
0.392 0.250 0.038 Ir
0.608 0.750 0.962 Ir
0.674 0.250 0.596 Au
0.326 0.750 0.404 Au
```

## Properties
ΔE_f ... -393 meV per atom
Symmetry ... P2_1/m
Crystal system ... monoclinic
ΔE to the lowest computed polymorph ... 0.081 eV/atom